1.
Compound: SiAg2Cl
Source: Alexandria via LeMat-Bulk
Functional: GGA-PBE
Structure: relaxed

Density of states at the Fermi level   1.1 states/eV per cell
ΔE_f (raw)   22 kJ per mole of atoms
SG   Cmm2, No. 35
Distance to the lowest polymorph of the same formula   210 meV/atom

CIF file:
```
data_SiAg2Cl
_chemical_formula_sum 'Si1 Ag2 Cl1'
_cell_length_a 3.084
_cell_length_b 3.084
_cell_length_c 8.967
_cell_angle_alpha 90.00
_cell_angle_beta 90.00
_cell_angle_gamma 118.77
_space_group_name_H-M_alt 'P 1'
_space_group_IT_number 1
_space_group_name_Hall 'P 1'
loop_
_atom_site_label
_atom_site_type_symbol
_atom_site_fract_x
_atom_site_fract_y
_atom_site_fract_z
_atom_site_occupancy
Ag1 Ag 0.000 0.000 0.989 1
Ag2 Ag 0.500 0.500 0.247 1
Cl1 Cl 0.000 0.000 0.521 1
Si1 Si 0.500 0.500 0.743 1
```

2.
Compound: ErCrFeGe3
Source: Alexandria via LeMat-Bulk
Functional: GGA-PBE
Structure: relaxed

Energy of formation   -0.08 eV/atom
Density of states at the Fermi level   6.9 states/eV per cell
SG   Cmcm, No. 63

CIF file:
```
data_ErCrFeGe3
_chemical_formula_sum 'Er2 Cr2 Fe2 Ge6'
_cell_length_a 7.485
_cell_length_b 5.626
_cell_length_c 5.979
_cell_angle_alpha 118.06
_cell_angle_beta 90.00
_cell_angle_gamma 90.00
_space_group_name_H-M_alt 'P 1'
_space_group_IT_number 1
_space_group_name_Hall 'P 1'
loop_
_atom_site_label
_atom_site_type_symbol
_atom_site_fract_x
_atom_site_fract_y
_atom_site_fract_z
_atom_site_occupancy
Er1 Er 0.750 0.237 0.473 1
Er2 Er 0.250 0.763 0.527 1
Cr1 Cr 0.250 0.066 0.133 1
Cr2 Cr 0.750 0.934 0.867 1
Fe1 Fe 0.250 0.491 0.982 1
Fe2 Fe 0.750 0.509 0.018 1
Ge1 Ge 0.250 0.279 0.559 1
Ge2 Ge 0.000 0.252 0.000 1
Ge3 Ge 0.500 0.748 0.000 1
Ge4 Ge 0.500 0.252 0.000 1
Ge5 Ge 0.000 0.748 0.000 1
Ge6 Ge 0.750 0.721 0.441 1
```

3.
Compound: RbTbGe2Cl8
Source: Alexandria via LeMat-Bulk
Functional: GGA-PBE
Structure: relaxed

Density of states at the Fermi level   0.0 states/eV per cell
ΔE_f (raw)   -143 kJ per mole of atoms
SG   P-1, No. 2

CIF file:
```
data_RbTbGe2Cl8
_chemical_formula_sum 'Rb1 Tb1 Ge2 Cl8'
_cell_length_a 6.972
_cell_length_b 6.338
_cell_length_c 9.391
_cell_angle_alpha 90.83
_cell_angle_beta 86.75
_cell_angle_gamma 84.65
_space_group_name_H-M_alt 'P 1'
_space_group_IT_number 1
_space_group_name_Hall 'P 1'
loop_
_atom_site_label
_atom_site_type_symbol
_atom_site_fract_x
_atom_site_fract_y
_atom_site_fract_z
_atom_site_occupancy
Rb1 Rb 0.000 0.000 0.500 1
Tb1 Tb 0.000 0.000 0.000 1
Ge1 Ge 0.446 0.454 0.781 1
Ge2 Ge 0.554 0.546 0.219 1
Cl1 Cl 0.188 0.787 0.195 1
Cl2 Cl 0.691 0.769 0.037 1
Cl3 Cl 0.867 0.273 0.212 1
Cl4 Cl 0.812 0.213 0.805 1
Cl5 Cl 0.309 0.231 0.963 1
Cl6 Cl 0.133 0.727 0.788 1
Cl7 Cl 0.630 0.729 0.416 1
Cl8 Cl 0.370 0.271 0.584 1
```

Question: density of states at the Fermi level of number 3 (RbTbGe2Cl8)?
Answer: 0.0 states/eV per cell

Question: The highest density of states at the Fermi level belongs to which entry?
Answer: ErCrFeGe3

What did the first record say?
Compound: SiAg2Cl
Source: Alexandria via LeMat-Bulk
Functional: GGA-PBE
Structure: relaxed

Density of states at the Fermi level   1.1 states/eV per cell
ΔE_f (raw)   22 kJ per mole of atoms
SG   Cmm2, No. 35
Distance to the lowest polymorph of the same formula   210 meV/atom

CIF file:
```
data_SiAg2Cl
_chemical_formula_sum 'Si1 Ag2 Cl1'
_cell_length_a 3.084
_cell_length_b 3.084
_cell_length_c 8.967
_cell_angle_alpha 90.00
_cell_angle_beta 90.00
_cell_angle_gamma 118.77
_space_group_name_H-M_alt 'P 1'
_space_group_IT_number 1
_space_group_name_Hall 'P 1'
loop_
_atom_site_label
_atom_site_type_symbol
_atom_site_fract_x
_atom_site_fract_y
_atom_site_fract_z
_atom_site_occupancy
Ag1 Ag 0.000 0.000 0.989 1
Ag2 Ag 0.500 0.500 0.247 1
Cl1 Cl 0.000 0.000 0.521 1
Si1 Si 0.500 0.500 0.743 1
```